Record 1
Here is NdY after structural relaxation from the Open Quantum Materials Database. Energies are from PBE-GGA.

Unit cell a=6.5183 b=6.5183 c=6.5183 alpha=90.00 beta=90.00 gamma=90.00
Space group Fm-3m (No. 225)
Unique sites:
Nd1 0.0000 0.0000 0.0000 (multiplicity 4)
Y1 0.0000 0.0000 0.5000 (multiplicity 4)

Calculated values
Distance to the lowest polymorph of the same formula = 671.2 meV per atom
V = 34.6 Å³ per atom
Formation energy = 0.699 eV per atom



Record 2
Here is KOsSO after structural relaxation from the Open Quantum Materials Database. Energies are from PBE-GGA.

Unit cell a=7.2590 b=6.0117 c=6.4479 alpha=90.00 beta=109.93 gamma=90.00
Space group P2_1/c (No. 14)
Unique sites:
K1 0.0827 0.2462 0.0265 (multiplicity 4)
Os1 0.4795 0.6187 0.7535 (multiplicity 4)
S1 0.3028 0.6166 0.3724 (multiplicity 4)
O1 0.3642 0.1314 0.3858 (multiplicity 4)

Calculated values
Distance to the lowest polymorph of the same formula = 153.5 meV per atom
V = 16.5 Å³ per atom



Record 3
Here is FeSi25Ge6 after structural relaxation from the Open Quantum Materials Database. Energies are from PBE-GGA.

Unit cell a=6.7265 b=6.7291 c=15.5518 alpha=89.96 beta=89.98 gamma=70.46
Space group P1 (No. 1)
Unique sites:
Fe1 0.0000 0.0000 0.0000 (multiplicity 1)
Si1 0.0005 0.0013 0.2482 (multiplicity 1)
Si2 0.0011 0.5085 0.3775 (multiplicity 1)
Si3 0.0013 0.5090 0.8729 (multiplicity 1)
Si4 0.3552 0.8953 0.0000 (multiplicity 1)
Si5 0.3719 0.3791 0.8720 (multiplicity 1)
Si6 0.3727 0.3807 0.3751 (multiplicity 1)
Si7 0.3727 0.3807 0.6281 (multiplicity 1)
Si8 0.3738 0.8810 0.2506 (multiplicity 1)
Si9 0.3739 0.8807 0.7513 (multiplicity 1)
Si10 0.3787 0.8859 0.5009 (multiplicity 1)
Si11 0.4946 0.5101 0.2531 (multiplicity 1)
Si12 0.4986 0.0073 0.3747 (multiplicity 1)
Si13 0.4988 0.0072 0.6271 (multiplicity 1)
Si14 0.4990 0.0072 0.8760 (multiplicity 1)
Si15 0.4994 0.5070 0.7505 (multiplicity 1)
Si16 0.5005 0.0004 0.1250 (multiplicity 1)
Si17 0.8725 0.3816 0.7504 (multiplicity 1)
Si18 0.8726 0.8809 0.3733 (multiplicity 1)
Si19 0.8727 0.8807 0.6289 (multiplicity 1)
Si20 0.8775 0.8858 0.1192 (multiplicity 1)
Si21 0.8779 0.3868 0.5018 (multiplicity 1)
Si22 0.8776 0.8849 0.8810 (multiplicity 1)
Si23 0.9962 0.5121 0.1253 (multiplicity 1)
Si24 0.9993 0.0074 0.7531 (multiplicity 1)
Si25 0.9995 0.5068 0.6272 (multiplicity 1)
Ge1 0.3720 0.3788 0.1279 (multiplicity 1)
Ge2 0.4929 0.5109 0.9979 (multiplicity 1)
Ge3 0.4994 0.5068 0.5014 (multiplicity 1)
Ge4 0.8726 0.3818 0.2517 (multiplicity 1)
Ge5 0.8875 0.3633 0.9992 (multiplicity 1)
Ge6 0.9993 0.0078 0.5010 (multiplicity 1)

Calculated values
E = -5.294 eV per atom
V = 20.7 Å³ per atom



Record 4
Here is MgZnAgN2 after structural relaxation from the Open Quantum Materials Database. Energies are from PBE-GGA.

Unit cell a=3.4883 b=3.4883 c=5.9484 alpha=90.00 beta=90.00 gamma=120.00
Space group P3m1 (No. 156)
Unique sites:
Mg1 0.0000 0.0000 0.0000 (multiplicity 1)
Zn1 0.6667 0.3333 0.6766 (multiplicity 1)
Ag1 0.3333 0.6667 0.3404 (multiplicity 1)
N1 0.0000 0.0000 0.6349 (multiplicity 1)
N2 0.6667 0.3333 0.0636 (multiplicity 1)

Calculated values
E = -4.170 eV per atom
V = 12.5 Å³ per atom